[1]
DFT (meta-GGA SCAN) results for a crystal of HfMgI3 relaxed with PBEsol.

It has space group Pm-3m (No. 221), with a = 5.604 Å, b = 5.604 Å, c = 5.604 Å, α = 90.00°, β = 90.00° and γ = 90.00°. The asymmetric unit holds Hf at (0.000, 0.000, 0.000), Mg at (0.500, 0.500, 0.500) and I at (0.000, 0.000, 0.500).

The value obtained for the density is 5.5 Mg/m³. The total energy is -35.7298 eV per atom.



[2]
DFT (meta-GGA SCAN) results for a crystal of ScPSe relaxed with PBEsol.

It has space group I4mm (No. 107), with a = 3.521 Å, b = 3.521 Å, c = 9.117 Å, α = 90.00°, β = 90.00° and γ = 90.00°. The asymmetric unit holds Sc at (0.000, 0.000, 0.000), P at (0.000, 0.000, 0.603) and Se at (0.000, 0.000, 0.341).

The value obtained for the density is 4.6 Mg/m³. The total energy is -15.8558 eV per atom.



[3]
DFT (meta-GGA SCAN) results for a crystal of TlAsP3 relaxed with PBEsol.

It has space group Pm-3m (No. 221), with a = 4.966 Å, b = 4.966 Å, c = 4.966 Å, α = 90.00°, β = 90.00° and γ = 90.00°. The asymmetric unit holds Tl at (0.000, 0.000, 0.000), As at (0.500, 0.500, 0.500) and P at (0.000, 0.000, 0.500).

The value obtained for the density is 5.0 Mg/m³. As for the formation energy: 1.768 eV/atom. The total energy is -22.9808 eV per atom.



[4]
DFT (meta-GGA SCAN) results for a crystal of TlIn2Ga relaxed with PBEsol.

It has space group Fm-3m (No. 225), with a = 7.319 Å, b = 7.319 Å, c = 7.319 Å, α = 90.00°, β = 90.00° and γ = 90.00°. The asymmetric unit holds Tl at (0.000, 0.000, 0.000), In at (0.250, 0.250, 0.250) and Ga at (0.000, 0.000, 0.500).

The value obtained for the density is 8.5 Mg/m³. As for the formation energy: 0.145 eV/atom. Its energy above the lowest structure with this stoichiometry is 0.044 eV/atom. The total energy is -38.7243 eV per atom.



[5]
DFT (meta-GGA SCAN) results for a crystal of TcNi2P relaxed with PBEsol.

It has space group R3m (No. 160, hexagonal axes), with a = 2.7077 Å, b = 2.7077 Å, c = 22.4097 Å, α = 90.00°, β = 90.00° and γ = 120.00°. The asymmetric unit holds Tc at (0.0000, 0.0000, 0.0000), Ni at (0.0000, 0.0000, 0.5118), Ni at (0.0000, 0.0000, 0.7574) and P at (0.0000, 0.0000, 0.2514).

The value obtained for the density is 8.6 Mg/m³. As for the formation energy: 0.039 eV/atom. The total energy is -19.4124 eV per atom.



[6]
DFT (meta-GGA SCAN) results for a crystal of Re2SbOs relaxed with PBEsol.

It has space group Pmmm (No. 47), with a = 3.006 Å, b = 4.536 Å, c = 4.613 Å, α = 90.00°, β = 90.00° and γ = 90.00°. The asymmetric unit holds Re at (0.000, 0.000, 0.000), Re at (0.500, 0.500, 0.000), Sb at (0.000, 0.500, 0.500) and Os at (0.500, 0.000, 0.500).

The value obtained for the density is 18.1 Mg/m³. The total energy is -62.1066 eV per atom.



[7]
DFT (meta-GGA SCAN) results for a crystal of Hg2OsBr relaxed with PBEsol.

It has space group Immm (No. 71), with a = 2.884 Å, b = 4.415 Å, c = 13.066 Å, α = 90.00°, β = 90.00° and γ = 90.00°. The asymmetric unit holds Hg at (0.000, 0.000, 0.189), Os at (0.000, 0.500, 0.500) and Br at (0.000, 0.500, 0.000).

The value obtained for the density is 13.4 Mg/m³. Its energy above the lowest structure with this stoichiometry is 0.006 eV/atom. The total energy is -56.0814 eV per atom.



[8]
DFT (meta-GGA SCAN) results for a crystal of Eu2Zn2P3 relaxed with PBEsol.

It has space group C2/m (No. 12), with a = 15.614 Å, b = 3.984 Å, c = 11.588 Å, α = 90.00°, β = 123.92° and γ = 90.00°. The asymmetric unit holds Eu at (0.040, 0.000, 0.372), Eu at (0.222, 0.000, 0.808), Zn at (0.059, 0.500, 0.170), Zn at (0.089, 0.000, 0.978), P at (0.087, 0.500, 0.572), P at (0.108, 0.500, 0.875) and P at (0.149, 0.000, 0.217).

The value obtained for the density is 5.9 Mg/m³. As for the formation energy: -0.787 eV/atom. The total energy is -24.4512 eV per atom.